# TcAg2BiPd

TcAg2BiPd at its PBEsol-relaxed geometry (meta-GGA SCAN, Alexandria).

abc: 5.105 5.105 4.993
angles: 90.00 90.00 90.00
Fractional positions:
Tc (0.000, 0.000, 0.000)
Ag (0.000, 0.500, 0.500)
Ag (0.500, 0.000, 0.500)
Bi (0.500, 0.500, 0.500)
Pd (0.500, 0.500, 0.000)

total DFT energy (no corrections) = -2.974 Ry per atom
mass density = 8.03 g/cm3
ΔE_f = 1.364 eV/atom

=====

# Rb2Ag2Bi

Rb2Ag2Bi at its PBEsol-relaxed geometry (meta-GGA SCAN, Alexandria).

abc: 11.719 11.719 11.719
angles: 161.46 161.46 26.34
Fractional positions:
Rb (0.115, 0.115, 0.000)
Rb (0.885, 0.885, 0.000)
Ag (0.250, 0.750, 0.500)
Ag (0.750, 0.250, 0.500)
Bi (0.500, 0.500, 0.000)

total DFT energy (no corrections) = -2.691 Ry per atom
mass density = 6.08 g/cm3
ΔE_f = -0.055 eV/atom

=====

# ReAg3Bi

ReAg3Bi at its PBEsol-relaxed geometry (meta-GGA SCAN, Alexandria).

abc: 5.217 5.217 5.217
angles: 90.00 90.00 90.00
Fractional positions:
Re (0.000, 0.000, 0.000)
Ag (0.000, 0.500, 0.500)
Ag (0.500, 0.000, 0.500)
Ag (0.500, 0.500, 0.000)
Bi (0.500, 0.500, 0.500)

total DFT energy (no corrections) = -3.449 Ry per atom
mass density = 8.40 g/cm3
ΔE_f = 1.834 eV/atom

=====

# AgBiTe2Rh

AgBiTe2Rh at its PBEsol-relaxed geometry (meta-GGA SCAN, Alexandria).

abc: 5.851 5.851 5.067
angles: 90.00 90.00 90.00
Fractional positions:
Ag (0.000, 0.000, 0.000)
Bi (0.000, 0.000, 0.500)
Te (0.000, 0.500, 0.500)
Te (0.500, 0.000, 0.500)
Rh (0.500, 0.500, 0.000)

total DFT energy (no corrections) = -3.117 Ry per atom
mass density = 6.46 g/cm3
formation energy (no corrections) = 1.233 eV/atom

=====

# Ag3Bi8S13

Ag3Bi8S13 at its PBEsol-relaxed geometry (meta-GGA SCAN, Alexandria).

abc: 6.763 6.763 21.305
angles: 94.01 94.01 35.37
Fractional positions:
Ag (0.000, 0.000, 0.000)
Ag (0.414, 0.414, 0.626)
Ag (0.586, 0.586, 0.374)
Bi (0.030, 0.030, 0.214)
Bi (0.140, 0.140, 0.541)
Bi (0.252, 0.252, 0.917)
Bi (0.310, 0.310, 0.297)
Bi (0.690, 0.690, 0.703)
Bi (0.748, 0.748, 0.083)
Bi (0.860, 0.860, 0.459)
Bi (0.970, 0.970, 0.786)
S (0.051, 0.051, 0.656)
S (0.104, 0.104, 0.103)
S (0.218, 0.218, 0.421)
S (0.332, 0.332, 0.735)
S (0.360, 0.360, 0.026)
S (0.390, 0.390, 0.184)
S (0.500, 0.500, 0.500)
S (0.610, 0.610, 0.816)
S (0.640, 0.640, 0.974)
S (0.668, 0.668, 0.265)
S (0.782, 0.782, 0.579)
S (0.896, 0.896, 0.897)
S (0.949, 0.949, 0.344)

total DFT energy (no corrections) = -2.614 Ry per atom
mass density = 7.12 g/cm3
formation energy (no corrections) = -0.232 eV/atom

=====

# Ag3Bi7S12

Ag3Bi7S12 at its PBEsol-relaxed geometry (meta-GGA SCAN, Alexandria).

abc: 6.841 6.841 20.164
angles: 101.88 101.88 33.97
Fractional positions:
Ag (0.000, 0.000, 0.000)
Ag (0.299, 0.299, 0.586)
Ag (0.701, 0.701, 0.414)
Bi (0.000, 0.000, 0.500)
Bi (0.077, 0.077, 0.232)
Bi (0.234, 0.234, 0.910)
Bi (0.383, 0.383, 0.329)
Bi (0.617, 0.617, 0.671)
Bi (0.766, 0.766, 0.090)
Bi (0.923, 0.923, 0.768)
S (0.031, 0.031, 0.368)
S (0.125, 0.125, 0.112)
S (0.275, 0.275, 0.707)
S (0.345, 0.345, 0.468)
S (0.365, 0.365, 0.028)
S (0.427, 0.427, 0.202)
S (0.573, 0.573, 0.798)
S (0.635, 0.635, 0.972)
S (0.655, 0.655, 0.532)
S (0.725, 0.725, 0.293)
S (0.875, 0.875, 0.888)
S (0.969, 0.969, 0.632)

total DFT energy (no corrections) = -2.557 Ry per atom
mass density = 7.00 g/cm3
formation energy (no corrections) = -0.260 eV/atom